The following is a DFT calculation (meta-GGA SCAN) of a crystal of Al3Cu relaxed with PBEsol.

Values from the calculation:
**Crystal system**: orthorhombic
**SG**: Pmmm, No. 47
**DFT formation energy**: -0.064 eV/atom

```
Al3Cu
1.0
2.7938 0.0000 0.0000
0.0000 3.8163 0.0000
0.0000 0.0000 5.5183
Al Cu
3 1
direct
0.5000 0.5000 0.7597
0.0000 0.0000 0.5000
0.5000 0.5000 0.2403
0.0000 0.0000 0.0000
```